*A*
Compound: HfPb2S4
Source: Alexandria via LeMat-Bulk
Functional: GGA-PBE
Structure: optimized geometry

Lattice parameters (Å, degrees): 4.921 4.921 8.234 72.61 72.61 90.00
Fractional positions:
S 0.171 0.171 0.658
S 0.829 0.829 0.342
S 0.500 0.000 0.000
S 0.000 0.500 0.000
Hf 0.000 0.000 0.000
Pb 0.644 0.644 0.713
Pb 0.356 0.356 0.287

=====

*B*
Compound: HfPb2S4
Source: Alexandria via LeMat-Bulk
Functional: GGA-PBE
Structure: optimized geometry

Lattice parameters (Å, degrees): 3.861 7.338 12.673 90.00 90.00 90.00
Fractional positions:
S 0.500 0.276 0.957
S 0.000 0.108 0.692
S 0.000 0.392 0.192
S 0.000 0.892 0.308
S 0.500 0.724 0.043
S 0.000 0.608 0.808
S 0.500 0.776 0.543
S 0.500 0.224 0.457
Pb 0.500 0.380 0.667
Pb 0.500 0.620 0.333
Pb 0.500 0.120 0.167
Pb 0.500 0.880 0.833
Hf 0.000 0.000 0.500
Hf 0.000 0.500 0.000

=====

Q: Which of them is the most stable? A: *B*.

=====

*A*
Compound: Hf2Sb2Pb
Source: Alexandria via LeMat-Bulk
Functional: GGA-PBE
Structure: optimized geometry

Lattice parameters (Å, degrees): 8.331 8.331 3.638 90.00 90.00 90.00
Fractional positions:
Sb 0.349 0.849 0.000
Sb 0.151 0.349 0.000
Sb 0.849 0.651 0.000
Sb 0.651 0.151 0.000
Pb 0.500 0.500 0.000
Pb 0.000 0.000 0.000
Hf 0.366 0.134 0.500
Hf 0.866 0.366 0.500
Hf 0.134 0.634 0.500
Hf 0.634 0.866 0.500

The density of states at the Fermi level comes out at 4.2 states/eV/cell.

=====

*B*
Compound: Hf2Sb2Pb
Source: Alexandria via LeMat-Bulk
Functional: GGA-PBE
Structure: optimized geometry

Lattice parameters (Å, degrees): 7.978 7.978 3.812 90.00 90.00 90.00
Fractional positions:
Sb 0.150 0.650 0.500
Sb 0.350 0.150 0.500
Sb 0.650 0.850 0.500
Sb 0.850 0.350 0.500
Hf 0.144 0.356 0.000
Hf 0.356 0.856 0.000
Hf 0.644 0.144 0.000
Hf 0.856 0.644 0.000
Pb 0.000 0.000 0.000
Pb 0.500 0.500 0.000

The density of states at the Fermi level comes out at 7.3 states/eV/cell.

=====

Q: Which of them is the most stable? A: *B*.

=====

*A*
Compound: Hf2SbPb
Source: Alexandria via LeMat-Bulk
Functional: GGA-PBE
Structure: optimized geometry

Lattice parameters (Å, degrees): 4.113 4.113 7.345 73.74 73.74 60.00
Fractional positions:
Hf 0.254 0.254 0.239
Hf 0.079 0.079 0.763
Pb 0.499 0.499 0.504
Sb 0.669 0.669 0.994

The density of states at the Fermi level comes out at 3.0 states/eV/cell.

=====

*B*
Compound: Hf2SbPb
Source: Alexandria via LeMat-Bulk
Functional: GGA-PBE
Structure: optimized geometry

Lattice parameters (Å, degrees): 4.134 4.134 7.206 73.33 73.33 60.00
Fractional positions:
Sb 0.000 0.000 0.000
Hf 0.252 0.252 0.244
Hf 0.748 0.748 0.756
Pb 0.500 0.500 0.500

The density of states at the Fermi level comes out at 2.2 states/eV/cell.

=====

Q: Which of them is the most stable? A: *B*.

=====

*A*
Compound: Hf2SbPb2
Source: Alexandria via LeMat-Bulk
Functional: GGA-PBE
Structure: optimized geometry

Lattice parameters (Å, degrees): 7.574 7.574 4.418 90.00 90.00 90.00
Fractional positions:
Sb 0.500 0.500 0.000
Sb 0.000 0.000 0.000
Pb 0.163 0.663 0.500
Pb 0.337 0.163 0.500
Pb 0.663 0.837 0.500
Pb 0.837 0.337 0.500
Hf 0.858 0.642 0.000
Hf 0.642 0.142 0.000
Hf 0.142 0.358 0.000
Hf 0.358 0.858 0.000

The density of states at the Fermi level comes out at 8.4 states/eV/cell.

=====

*B*
Compound: Hf2SbPb2
Source: Alexandria via LeMat-Bulk
Functional: GGA-PBE
Structure: optimized geometry

Lattice parameters (Å, degrees): 8.981 8.981 3.233 90.00 90.00 90.00
Fractional positions:
Pb 0.829 0.671 0.000
Pb 0.171 0.329 0.000
Pb 0.329 0.829 0.000
Pb 0.671 0.171 0.000
Hf 0.377 0.123 0.500
Hf 0.623 0.877 0.500
Hf 0.877 0.377 0.500
Hf 0.123 0.623 0.500
Sb 0.500 0.500 0.000
Sb 0.000 0.000 0.000

The density of states at the Fermi level comes out at 6.4 states/eV/cell.

=====

Q: Which of them is the most stable? A: *A*.

=====

*A*
Compound: HfScPb2
Source: Alexandria via LeMat-Bulk
Functional: GGA-PBE
Structure: optimized geometry

Lattice parameters (Å, degrees): 4.306 4.717 4.717 90.00 90.00 90.00
Fractional positions:
Sc 0.500 0.000 0.000
Pb 0.000 0.500 0.000
Pb 0.000 0.000 0.500
Hf 0.500 0.500 0.500

The density of states at the Fermi level comes out at 5.1 states/eV/cell.

=====

*B*
Compound: HfScPb2
Source: Alexandria via LeMat-Bulk
Functional: GGA-PBE
Structure: optimized geometry

Lattice parameters (Å, degrees): 4.029 4.029 7.810 75.05 75.05 60.00
Fractional positions:
Pb 0.249 0.249 0.252
Pb 0.751 0.751 0.748
Sc 0.000 0.000 0.000
Hf 0.500 0.500 0.500

The density of states at the Fermi level comes out at 1.4 states/eV/cell.

=====

Q: Which of them is the most stable? A: *A*.

=====

*A*
Compound: HfScPb2
Source: Alexandria via LeMat-Bulk
Functional: GGA-PBE
Structure: optimized geometry

Lattice parameters (Å, degrees): 8.012 8.012 6.521 52.10 52.10 90.00
Fractional positions:
Sc 0.500 0.500 0.000
Sc 0.250 0.750 0.500
Hf 0.750 0.250 0.500
Hf 0.000 0.000 0.000
Pb 0.375 0.374 0.750
Pb 0.626 0.125 0.250
Pb 0.875 0.876 0.750
Pb 0.124 0.625 0.250

The density of states at the Fermi level comes out at 6.0 states/eV/cell.

=====

*B*
Compound: HfScPb2
Source: Alexandria via LeMat-Bulk
Functional: GGA-PBE
Structure: optimized geometry

Lattice parameters (Å, degrees): 3.328 3.328 8.683 90.00 90.00 90.00
Last column: magnetic moment on the atom in μB.
Fractional positions:
Pb 0.000 0.000 0.250  -0.01
Pb 0.000 0.000 0.750  -0.01
Sc 0.500 0.500 0.000  0.39
Hf 0.500 0.500 0.500  0.01

The density of states at the Fermi level comes out at 1.9 states/eV/cell.

=====

*C*
Compound: HfScPb2
Source: Alexandria via LeMat-Bulk
Functional: GGA-PBE
Structure: optimized geometry

Lattice parameters (Å, degrees): 5.162 5.162 5.162 60.00 60.00 60.00
Last column: magnetic moment on the atom in μB.
Fractional positions:
Hf 0.500 0.500 0.500  0.42
Pb 0.750 0.750 0.750  0.01
Pb 0.250 0.250 0.250  0.01
Sc 0.000 0.000 0.000  0.29

The density of states at the Fermi level comes out at 4.6 states/eV/cell.

=====

Q: Which of them is the most stable? A: *B*.

=====

*A*
Compound: HfScPb
Source: Alexandria via LeMat-Bulk
Functional: GGA-PBE
Structure: optimized geometry

Lattice parameters (Å, degrees): 4.276 4.276 7.932 90.00 90.00 90.00
Fractional positions:
Hf 0.500 0.500 0.500
Hf 0.000 0.000 0.500
Pb 0.500 0.000 0.791
Pb 0.000 0.500 0.209
Sc 0.500 0.000 0.174
Sc 0.000 0.500 0.826

The density of states at the Fermi level comes out at 3.5 states/eV/cell.

=====

*B*
Compound: HfScPb
Source: Alexandria via LeMat-Bulk
Functional: GGA-PBE
Structure: optimized geometry

Lattice parameters (Å, degrees): 7.945 8.831 8.831 51.82 63.27 63.27
Fractional positions:
Sc 0.527 0.000 0.000
Sc 0.527 0.500 0.500
Sc 0.257 0.365 0.366
Sc 0.987 0.134 0.135
Sc 0.257 0.866 0.865
Sc 0.987 0.635 0.634
Pb 0.590 0.167 0.167
Pb 0.590 0.667 0.667
Pb 0.924 0.333 0.333
Pb 0.257 0.750 0.250
Pb 0.924 0.833 0.833
Pb 0.257 0.250 0.750
Hf 0.257 0.448 0.948
Hf 0.861 0.250 0.750
Hf 0.861 0.750 0.250
Hf 0.653 0.052 0.552
Hf 0.257 0.948 0.448
Hf 0.653 0.552 0.052

The density of states at the Fermi level comes out at 22.2 states/eV/cell.

=====

Q: Which of them is the most stable? A: *A*.

=====

*A*
Compound: HfScPb
Source: Alexandria via LeMat-Bulk
Functional: GGA-PBE
Structure: optimized geometry

Lattice parameters (Å, degrees): 3.615 3.615 5.949 107.68 107.68 90.00
Fractional positions:
Pb 0.284 0.284 0.569
Sc 0.950 0.950 0.901
Hf 0.615 0.615 0.231

The density of states at the Fermi level comes out at 4.0 states/eV/cell.

=====

*B*
Compound: HfScPb
Source: Alexandria via LeMat-Bulk
Functional: GGA-PBE
Structure: optimized geometry

Lattice parameters (Å, degrees): 3.349 5.001 5.001 120.00 90.00 90.00
Fractional positions:
Sc 0.392 0.333 0.667
Pb 0.674 0.667 0.333
Hf 0.934 0.000 0.000

The density of states at the Fermi level comes out at 3.8 states/eV/cell.

=====

Q: Which of them is the most stable? A: *A*.